1.
NbRe3S: optimized geometry, PBE.

Properties
- Crystal system: cubic
- Excess energy over the best structure of this formula in the dataset: 2.055 eV/atom
- Total magnetic moment: 0.00 μB/atom
- DFT total energy: -37.6 eV for the cell shown

abc: 4.779 4.779 4.779
angles: 90.00 90.00 90.00
Fractional coordinates of all 5 atoms:
Re 0.500 0.000 0.000
Re 0.000 0.000 0.500
Re 0.000 0.500 0.000
S 0.500 0.500 0.500
Nb 0.000 0.000 0.000

2.
Nb2ReS: optimized geometry, PBE.

Properties
- Crystal system: tetragonal
- Total magnetic moment: 0.00 μB/atom
- DFT total energy: -68.7 eV for the cell shown

abc: 5.268 5.268 7.479
angles: 69.38 69.38 90.00
Fractional coordinates of all 8 atoms:
Nb 0.606 0.125 0.250
Nb 0.375 0.394 0.750
Nb 0.144 0.625 0.250
Nb 0.875 0.856 0.750
Re 0.750 0.250 0.500
Re 0.000 0.000 0.000
S 0.250 0.750 0.500
S 0.500 0.500 0.000

3.
NbReSe2S: optimized geometry, PBE.

Properties
- Crystal system: tetragonal
- Total magnetic moment: 1.10 μB/atom
- DFT total energy: -29.4 eV for the cell shown

abc: 5.146 4.653 5.146
angles: 90.00 90.00 90.00
Site moments in Bohr magnetons follow the coordinates.
Fractional coordinates of all 5 atoms:
S 0.000 0.500 0.000  0.03
Nb 0.000 0.000 0.000  0.30
Se 0.000 0.000 0.500  0.03
Se 0.500 0.000 0.000  -0.02
Re 0.500 0.500 0.500  4.11